# 1
Below is a relaxed Sc2SbO2 crystal, with properties calculated at the PBE-GGA level.

Summary:
M_tot = 0.0 μB per formula unit
D(E_F) = 0.7 states/eV/cell
Calculated total energy = -7.9028 eV/atom
Raw formation energy = -12.8 eV/f.u.

Cell and atoms, written as extended XYZ:
```
5
Lattice="-1.826 1.826 6.333 1.826 -1.826 6.333 1.826 1.826 -6.333" Properties=species:S:1:pos:R:3 pbc="T T T"
Sc 0.000 0.000 2.159
Sc 0.000 0.000 10.507
Sb 0.000 0.000 6.333
O 1.826 0.000 3.166
O 0.000 1.826 3.166
```



# 2
Below is a relaxed LiCd2GaO4 crystal, with properties calculated at the PBE-GGA level.

Summary:
M_tot = 0.0 μB per formula unit
Calculated total energy = -4.8195 eV/atom
Raw formation energy = -12.0 eV/f.u.

Cell and atoms, written as extended XYZ:
```
8
Lattice="-2.429 2.429 4.704 2.429 -2.429 4.704 2.429 2.429 -4.704" Properties=species:S:1:pos:R:3 pbc="T T T"
Li 0.000 0.000 0.000
Cd 0.000 0.000 4.704
Cd 0.000 2.429 2.352
Ga 2.429 0.000 2.352
O 0.979 1.277 -1.230
O 3.582 0.979 1.230
O 1.451 1.152 3.474
O -1.152 1.451 5.934
```